[1]
Below is an optimized crystal structure of Sm3Cu4Ge2, with properties calculated at the PBE level.

Total energy: -4.9168 eV/atom

Cell: 4.2604 5.7274 8.4286 Å, 107.37 90.00 111.83°
Last column: nearest neighbours and their distance in Å.
Sites, in units of the cell vectors:
Cu 0.7183 0.4365 0.0532  2 Cu 2.49, 1 Ge 2.51
Cu 0.2817 0.5635 0.9468  2 Cu 2.49, 1 Ge 2.51
Sm 0.3354 0.6708 0.3338  8 Cu 3.08-3.15, 4 Ge 3.11-3.14
Ge 0.6103 0.2207 0.2776  3 Cu 2.48-2.51
Ge 0.3897 0.7793 0.7224  3 Cu 2.48-2.51
Cu 0.9427 0.8855 0.6084  2 Ge 2.48, 1 Cu 2.50
Cu 0.0573 0.1145 0.3916  2 Ge 2.48, 1 Cu 2.50
Sm 0.0000 0.0000 0.0000  8 Cu 3.08-3.17, 4 Ge 3.10
Sm 0.6646 0.3292 0.6662  8 Cu 3.08-3.15, 4 Ge 3.11-3.14



[2]
Below is an optimized crystal structure of SmCuGe, with properties calculated at the PBE level.

Total energy: -4.7557 eV/atom

Cell: 4.0750 4.5747 7.6511 Å, 90.00 105.44 90.00°
Last column: nearest neighbours and their distance in Å.
Sites, in units of the cell vectors:
Sm 0.6636 0.7500 0.3273  3 Cu 2.93-2.99, 5 Ge 3.02-3.10
Ge 0.1319 0.2500 0.2637  2 Cu 2.45
Cu 0.4608 0.7500 0.9217  2 Ge 2.45, 2 Cu 2.56
Cu 0.5392 0.2500 0.0783  2 Ge 2.45, 2 Cu 2.56
Sm 0.3364 0.2500 0.6727  3 Cu 2.93-2.99, 5 Ge 3.02-3.10
Ge 0.8681 0.7500 0.7363  2 Cu 2.45